Entry from the Alexandria database: a relaxed KLiZr crystal (PBE-GGA).

Structure (POSCAR):
```
KLiZr
1.0
5.530 0.000 0.000
2.765 4.789 0.000
2.765 1.596 4.515
K Zr Li
1 1 1
direct
0.750 0.750 0.750 K
0.500 0.500 0.500 Zr
0.000 0.000 0.000 Li
```

Properties
The value obtained for the total magnetic moment is 0.996 μB/atom. The value obtained for the density of states at the Fermi level is 4.8 states/eV/cell. As for the space group: F-43m, No. 216. The formation energy is 1629 meV/atom.